Compound: BaCrPd2
Source: Alexandria
Functional: PBE
Structure: relaxed

Geometry as CIF:
```
data_BaCrPd2
_cell_length_a 5.2962
_cell_length_b 5.2962
_cell_length_c 8.7279
_cell_angle_alpha 72.34
_cell_angle_beta 72.34
_cell_angle_gamma 90.00
_space_group_name_H-M_alt 'P 1'
_space_group_IT_number 1
_space_group_name_Hall 'P 1'
loop_
_atom_site_label
_atom_site_fract_x
_atom_site_fract_y
_atom_site_fract_z
_atom_site_occupancy
Cr1 0.5000 0.5000 0.0000 1
Cr2 0.2500 0.7500 0.5000 1
Ba1 0.0000 0.0000 0.0000 1
Ba2 0.7500 0.2500 0.5000 1
Pd1 0.3767 0.1250 0.2500 1
Pd2 0.3733 0.6250 0.2500 1
Pd3 0.3750 0.6233 0.7500 1
Pd4 0.8750 0.6267 0.7500 1
```

---

# BaCrPd (PBE, relaxed)
data_BaCrPd
_cell_length_a 4.5891
_cell_length_b 4.5893
_cell_length_c 8.7699
_cell_angle_alpha 105.17
_cell_angle_beta 74.83
_cell_angle_gamma 90.00
_space_group_name_H-M_alt 'P 1'
_space_group_IT_number 1
_space_group_name_Hall 'P 1'
loop_
_atom_site_label
_atom_site_fract_x
_atom_site_fract_y
_atom_site_fract_z
_atom_site_occupancy
Cr1 0.5783 0.7809 0.3366 1
Cr2 0.7572 0.6021 0.9791 1
Ba1 0.1676 0.1915 0.1580 1
Ba2 0.4174 0.4413 0.6579 1
Pd1 0.0021 0.8567 0.4890 1
Pd2 0.8329 0.0260 0.8269 1
# Polymorph energy (0 for the lowest one) in meV/atom: 121.9

---

# BaCrPd (PBE, relaxed)
data_BaCrPd
_cell_length_a 4.2963
_cell_length_b 8.8863
_cell_length_c 4.3718
_cell_angle_alpha 93.06
_cell_angle_beta 90.00
_cell_angle_gamma 90.01
_space_group_name_H-M_alt 'P 1'
_space_group_IT_number 1
_space_group_name_Hall 'P 1'
loop_
_atom_site_label
_atom_site_fract_x
_atom_site_fract_y
_atom_site_fract_z
_atom_site_occupancy
Cr1 0.8617 0.5600 0.4268 1
Cr2 0.8618 0.4527 0.0609 1
Ba1 0.3614 0.7660 0.0156 1
Ba2 0.8611 0.1461 0.5554 1
Pd1 0.3614 0.2705 0.0896 1
Pd2 0.3616 0.4606 0.6193 1
# Polymorph energy (0 for the lowest one) in meV/atom: 117.4

---

# BaCr3Pd (PBE, relaxed)
data_BaCr3Pd
_cell_length_a 4.9640
_cell_length_b 4.9640
_cell_length_c 4.9640
_cell_angle_alpha 90.00
_cell_angle_beta 90.00
_cell_angle_gamma 90.00
_space_group_name_H-M_alt 'P 1'
_space_group_IT_number 1
_space_group_name_Hall 'P 1'
loop_
_atom_site_label
_atom_site_fract_x
_atom_site_fract_y
_atom_site_fract_z
_atom_site_occupancy
Cr1 0.0000 0.5000 0.0000 1
Cr2 0.0000 0.0000 0.5000 1
Cr3 0.5000 0.0000 0.0000 1
Ba1 0.0000 0.0000 0.0000 1
Pd1 0.5000 0.5000 0.5000 1
# Polymorph energy (0 for the lowest one) in meV/atom: 781.9

---

For each record above, in turn, the calculated ΔE_f values are 0.370 0.208 0.203 2.455 eV/atom.